(1)
A relaxed structure of ZrAsW3, computed with GGA-PBE.

Cell lengths 4.6272, 4.6272, 4.6272 Å; angles 90.00, 90.00, 90.00 degrees
With the nearest neighbours (Å) after each atom.
Atoms (fractional coordinates):
Zr 0.0000 0.0000 0.0000  12 W 3.27
As 0.5000 0.5000 0.5000  6 W 2.31
W 0.0000 0.5000 0.5000  2 As 2.31
W 0.5000 0.0000 0.5000  2 As 2.31
W 0.5000 0.5000 0.0000  2 As 2.31

Output
magnetic moment: 0.00 μB/atom
DFT formation energy: 1106 meV/atom
ρ: 12.0 g/cm3
distance to the lowest polymorph of the same formula: 0.0 meV/atom

***

(2)
A relaxed structure of RbNa2MnS4, computed with GGA-PBE.

Cell lengths 6.6067, 6.6067, 6.6067 Å; angles 114.83, 114.83, 99.21 degrees
With the nearest neighbours (Å) after each atom.
Atoms (fractional coordinates):
Rb 0.0000 0.0000 0.0000  8 S 3.50-3.54
Na 0.2500 0.7500 0.5000  4 S 2.79
Na 0.7500 0.2500 0.5000  4 S 2.79
Mn 0.5000 0.5000 0.0000  4 S 2.12
S 0.1861 0.5329 0.0000  1 Mn 2.12
S 0.4671 0.4671 0.6532  1 Mn 2.12
S 0.5329 0.1861 0.0000  1 Mn 2.12
S 0.8139 0.8139 0.3468  1 Mn 2.12

Output
magnetic moment: 0.25 μB/atom
ρ: 2.4 g/cm3
E_form (uncorrected): -831 meV/atom